[1]
The following is a GGA-PBE calculation of a relaxed structure of Pm2ZnP2N6, from Alexandria.

Summary:
* E_tot: -78.00 eV per cell
* M_tot: 0.0 Bohr magnetons per cell
* symmetry: R-3m (166)
* N(E_F): 0.0215 states/eV/atom
* energy relative to the elements, uncorrected: -6.5 eV/f.u.

Unit cell a=5.4691 b=5.4691 c=6.4187 alpha=64.78 beta=64.78 gamma=60.00
Positions (direct):
Pm 0.7911 0.7911 0.6268
Pm 0.2089 0.2089 0.3732
Zn 0.0000 0.0000 0.0000
P 0.4204 0.4204 0.7389
P 0.5796 0.5796 0.2611
N 0.7446 0.7446 0.2657
N 0.2450 0.7446 0.2657
N 0.7446 0.2450 0.2657
N 0.2554 0.7550 0.7343
N 0.7550 0.2554 0.7343
N 0.2554 0.2554 0.7343

[2]
The following is a GGA-PBE calculation of a relaxed structure of La2Mg5Ni4, from Alexandria.

Summary:
* E_tot: -42.60 eV per cell
* ΔE_f: -0.150 eV/atom
* M_tot: 0.0 Bohr magnetons per cell
* symmetry: C2/m (12)
* N(E_F): 0.6294 states/eV/atom

Unit cell a=5.8105 b=6.8967 c=7.0391 alpha=68.15 beta=65.62 gamma=65.09
Positions (direct):
La 0.2773 0.7849 0.6606
La 0.7227 0.2151 0.3394
Mg 0.2178 0.2246 0.8634
Mg 0.7822 0.7754 0.1366
Mg 0.0000 0.5000 0.5000
Mg 0.6941 0.2246 0.8634
Mg 0.3059 0.7754 0.1366
Ni 0.3275 0.0871 0.2578
Ni 0.6725 0.9129 0.7422
Ni 0.7759 0.5373 0.9109
Ni 0.2241 0.4627 0.0891

[3]
The following is a GGA-PBE calculation of a relaxed structure of Cr2Si, from Alexandria.

Summary:
* E_tot: -47.50 eV per cell
* M_tot: 1.5 Bohr magnetons per cell
* symmetry: Imma (74)
* N(E_F): 1.2661 states/eV/atom
* energy relative to the elements, uncorrected: 0.9 eV/f.u.

Unit cell a=8.2735 b=8.2735 c=8.2735 alpha=162.79 beta=152.29 gamma=32.81
Each line ends with the local moment (μB).
Positions (direct):
Cr 0.9303 0.1803 0.7500  0.28
Cr 0.0697 0.8197 0.2500  0.28
Cr 0.7849 0.0349 0.7500  0.44
Cr 0.2151 0.9651 0.2500  0.44
Si 0.3713 0.6213 0.7500  -0.01
Si 0.6287 0.3787 0.2500  -0.01

[4]
The following is a GGA-PBE calculation of a relaxed structure of Cs3Hg5As2, from Alexandria.

Summary:
* E_tot: -31.47 eV per cell
* ΔE_f: -0.236 eV/atom
* M_tot: 0.0 Bohr magnetons per cell
* symmetry: Ibam (72)
* N(E_F): 0.2306 states/eV/atom

Unit cell a=7.7009 b=10.8824 c=10.8824 alpha=63.44 beta=69.28 gamma=69.28
Positions (direct):
Cs 0.2500 0.0000 0.0000
Cs 0.7500 0.0000 0.0000
Cs 0.3649 0.4120 0.8582
Cs 0.6351 0.5880 0.1418
Cs 0.8649 0.8582 0.4120
Cs 0.1351 0.1418 0.5880
Hg 0.2500 0.5000 0.5000
Hg 0.7500 0.5000 0.5000
Hg 0.4748 0.7752 0.7752
Hg 0.0252 0.2248 0.2248
Hg 0.5252 0.2248 0.2248
Hg 0.9748 0.7752 0.7752
Hg 0.1436 0.4680 0.2447
Hg 0.8564 0.5320 0.7553
Hg 0.6436 0.2447 0.4680
Hg 0.3564 0.7553 0.5320
As 0.1599 0.7038 0.9765
As 0.8401 0.2962 0.0235
As 0.6599 0.9765 0.7038
As 0.3401 0.0235 0.2962

[5]
The following is a GGA-PBE calculation of a relaxed structure of Cs3HfSc2Se6, from Alexandria.

Summary:
* E_tot: -63.58 eV per cell
* M_tot: 0.0 Bohr magnetons per cell
* symmetry: C2/m (12)
* N(E_F): 0.3272 states/eV/atom
* energy relative to the elements, uncorrected: -17.5 eV/f.u.

Unit cell a=6.9695 b=6.9695 c=8.6467 alpha=97.72 beta=97.72 gamma=119.99
Positions (direct):
Cs 0.1679 0.8321 0.5000
Cs 0.8321 0.1679 0.5000
Cs 0.5000 0.5000 0.5000
Hf 0.0000 0.0000 0.0000
Sc 0.3335 0.6665 0.0000
Sc 0.6665 0.3335 0.0000
Se 0.9404 0.6122 0.8210
Se 0.7317 0.7317 0.1796
Se 0.0596 0.3878 0.1790
Se 0.6122 0.9404 0.8210
Se 0.2683 0.2683 0.8204
Se 0.3878 0.0596 0.1790

[6]
The following is a GGA-PBE calculation of a relaxed structure of Zn2PtN, from Alexandria.

Summary:
* E_tot: -15.78 eV per cell
* M_tot: 0.0 Bohr magnetons per cell
* symmetry: R-3m (166)
* N(E_F): 0.3585 states/eV/atom
* energy relative to the elements, uncorrected: 1.1 eV/f.u.

Unit cell a=2.9711 b=2.9711 c=7.5524 alpha=78.66 beta=78.66 gamma=60.00
Positions (direct):
Zn 0.1148 0.1148 0.6557
Zn 0.8852 0.8852 0.3443
Pt 0.0000 0.0000 0.0000
N 0.5000 0.5000 0.5000

[7]
The following is a GGA-PBE calculation of a relaxed structure of Cs2Nb4O7, from Alexandria.

Summary:
* E_tot: -99.64 eV per cell
* M_tot: 0.0 Bohr magnetons per cell
* symmetry: P-31m (162)
* N(E_F): 0.5274 states/eV/atom
* energy relative to the elements, uncorrected: -22.9 eV/f.u.

Unit cell a=5.3410 b=5.3410 c=7.7735 alpha=90.00 beta=90.00 gamma=120.00
Positions (direct):
Cs 0.6667 0.3333 0.0000
Cs 0.3333 0.6667 0.0000
Nb 0.0000 0.0000 0.6980
Nb 0.0000 0.0000 0.3020
Nb 0.6667 0.3333 0.5000
Nb 0.3333 0.6667 0.5000
O 0.0000 0.6308 0.6904
O 0.0000 0.3692 0.3096
O 0.0000 0.0000 0.0000
O 0.6308 0.0000 0.6904
O 0.3692 0.0000 0.3096
O 0.6308 0.6308 0.3096
O 0.3692 0.3692 0.6904

[8]
The following is a GGA-PBE calculation of a relaxed structure of Y2ScGaRh, from Alexandria.

Summary:
* E_tot: -29.07 eV per cell
* ΔE_f: 0.114 eV/atom
* M_tot: 0.6 Bohr magnetons per cell
* symmetry: P4/mmm (123)
* N(E_F): 1.4070 states/eV/atom

Unit cell a=5.4240 b=4.5611 c=5.4240 alpha=90.00 beta=90.00 gamma=90.00
Each line ends with the local moment (μB).
Positions (direct):
Y 0.0000 0.0000 0.5000  0.07
Y 0.5000 0.0000 0.0000  0.06
Sc 0.5000 0.5000 0.5000  0.21
Rh 0.0000 0.5000 0.0000  -0.02
Ga 0.0000 0.0000 0.0000  0.00

Copy entry 1 word for word.
The following is a GGA-PBE calculation of a relaxed structure of Pm2ZnP2N6, from Alexandria.

Summary:
* E_tot: -78.00 eV per cell
* M_tot: 0.0 Bohr magnetons per cell
* symmetry: R-3m (166)
* N(E_F): 0.0215 states/eV/atom
* energy relative to the elements, uncorrected: -6.5 eV/f.u.

Unit cell a=5.4691 b=5.4691 c=6.4187 alpha=64.78 beta=64.78 gamma=60.00
Positions (direct):
Pm 0.7911 0.7911 0.6268
Pm 0.2089 0.2089 0.3732
Zn 0.0000 0.0000 0.0000
P 0.4204 0.4204 0.7389
P 0.5796 0.5796 0.2611
N 0.7446 0.7446 0.2657
N 0.2450 0.7446 0.2657
N 0.7446 0.2450 0.2657
N 0.2554 0.7550 0.7343
N 0.7550 0.2554 0.7343
N 0.2554 0.2554 0.7343

What did the fourth record say?
The following is a GGA-PBE calculation of a relaxed structure of Cs3Hg5As2, from Alexandria.

Summary:
* E_tot: -31.47 eV per cell
* ΔE_f: -0.236 eV/atom
* M_tot: 0.0 Bohr magnetons per cell
* symmetry: Ibam (72)
* N(E_F): 0.2306 states/eV/atom

Unit cell a=7.7009 b=10.8824 c=10.8824 alpha=63.44 beta=69.28 gamma=69.28
Positions (direct):
Cs 0.2500 0.0000 0.0000
Cs 0.7500 0.0000 0.0000
Cs 0.3649 0.4120 0.8582
Cs 0.6351 0.5880 0.1418
Cs 0.8649 0.8582 0.4120
Cs 0.1351 0.1418 0.5880
Hg 0.2500 0.5000 0.5000
Hg 0.7500 0.5000 0.5000
Hg 0.4748 0.7752 0.7752
Hg 0.0252 0.2248 0.2248
Hg 0.5252 0.2248 0.2248
Hg 0.9748 0.7752 0.7752
Hg 0.1436 0.4680 0.2447
Hg 0.8564 0.5320 0.7553
Hg 0.6436 0.2447 0.4680
Hg 0.3564 0.7553 0.5320
As 0.1599 0.7038 0.9765
As 0.8401 0.2962 0.0235
As 0.6599 0.9765 0.7038
As 0.3401 0.0235 0.2962

Q: Which value of E_tot does entry 8 give?
A: -29.07 eV per cell

Q: Which of these has the lowest N(E_F)?
A: Pm2ZnP2N6